1.
Computed, not measured: a geometry-optimized TaReAg2 structure at the PBE level of DFT.

POSCAR file:
```
TaReAg2
1.0
2.748 0.000 0.000
0.000 4.979 0.000
-0.755 0.000 4.987
Ta Re Ag
1 1 2
Direct
0.000 0.000 0.000
0.500 0.000 0.500
0.269 0.500 0.746
0.731 0.500 0.254
```

Values from the calculation:
E_tot	-7.032	eV/atom
E_form	1.88	eV per formula unit
polymorph energy (0 for the lowest one)	246	meV/atom
crystal system	monoclinic
size of the total moment	0.00	μB per cell

***

2.
Computed, not measured: a geometry-optimized UVCrGe structure at the PBE level of DFT.

POSCAR file:
```
UVCrGe
1.0
6.260 0.000 0.000
0.000 6.260 0.000
0.000 0.000 6.260
U V Cr Ge
4 4 4 4
Direct
0.000 0.000 0.000
0.000 0.500 0.500
0.500 0.000 0.500
0.500 0.500 0.000
0.250 0.250 0.250
0.250 0.750 0.750
0.750 0.250 0.750
0.750 0.750 0.250
0.250 0.250 0.750
0.250 0.750 0.250
0.750 0.250 0.250
0.750 0.750 0.750
0.000 0.000 0.500
0.000 0.500 0.000
0.500 0.000 0.000
0.500 0.500 0.500
```

Values from the calculation:
E_tot	-8.599	eV/atom
E_form	0.25	eV per formula unit
crystal system	cubic
size of the total moment	4.21	μB per cell

***

3.
Computed, not measured: a geometry-optimized TaSiSb structure at the PBE level of DFT.

POSCAR file:
```
TaSiSb
1.0
9.605 0.000 0.000
0.000 3.474 0.000
-1.249 0.000 3.242
Ta Si Sb
2 2 2
Direct
0.000 0.000 0.000
0.500 0.500 0.000
0.366 0.000 0.367
0.866 0.500 0.367
0.180 0.500 0.681
0.680 0.000 0.681
```

Values from the calculation:
E_tot	-7.223	eV/atom
formation energy from raw total energies	-0.090	eV/atom
crystal system	monoclinic
size of the total moment	0.00	μB per cell